# RbMnI6 PBE relaxed
# magnetization = 2.582 μB per formula unit
# E_form (uncorrected) = -0.439 eV per atom
# E = -2.8689 eV/atom
data_RbMnI6
_chemical_formula_sum 'Rb2 Mn2 I12'
_cell_length_a 8.863
_cell_length_b 11.317
_cell_length_c 6.827
_cell_angle_alpha 90.00
_cell_angle_beta 105.37
_cell_angle_gamma 90.00
_symmetry_space_group_name_H-M 'C 1 2/m 1'
_symmetry_Int_Tables_number 12
loop_
_symmetry_equiv_pos_as_xyz
'x,y,z'
'-x,-y,-z'
'-x,y,-z'
'x,-y,z'
'x+1/2,y+1/2,z'
'-x+1/2,-y+1/2,-z'
'-x+1/2,y+1/2,-z'
'x+1/2,-y+1/2,z'
loop_
_atom_site_label
_atom_site_fract_x
_atom_site_fract_y
_atom_site_fract_z
_atom_site_occupancy
Rb1 0.000 0.000 0.000 1
Mn1 0.000 0.500 0.500 1
I1 0.094 0.332 0.785 1
I2 0.211 0.000 0.560 1